# 1
# YPaBi2O6, optimized geometry, DFT GGA-PBE
data_YPaBi2O6
_cell_length_a 10.535
_cell_length_b 5.921
_cell_length_c 6.307
_cell_angle_alpha 90.00
_cell_angle_beta 126.34
_cell_angle_gamma 90.00
_symmetry_space_group_name_H-M 'C 1 2/m 1'
_symmetry_Int_Tables_number 12
loop_
_symmetry_equiv_pos_as_xyz
'x,y,z'
'-x,-y,-z'
'-x,y,-z'
'x,-y,z'
'x+1/2,y+1/2,z'
'-x+1/2,-y+1/2,-z'
'-x+1/2,y+1/2,-z'
'x+1/2,-y+1/2,z'
loop_
_atom_site_label
_atom_site_type_symbol
_atom_site_fract_x
_atom_site_fract_y
_atom_site_fract_z
_atom_site_occupancy
Y1 Y 0.000 0.000 0.000 1
Pa1 Pa 0.000 0.500 0.500 1
Bi1 Bi 0.240 0.000 0.760 1
O1 O 0.083 0.253 0.830 1
O2 O 0.242 0.500 0.625 1
# - spin magnetization (μB/f.u.) = 0.00
# - uncorrected energy (eV per atom) = -7.6514
# - formation energy (no corrections) (eV per atom) = -2.304



# 2
# Y2PaBiO8, optimized geometry, DFT GGA-PBE
data_Y2PaBiO8
_cell_length_a 5.430
_cell_length_b 3.746
_cell_length_c 7.890
_cell_angle_alpha 90.00
_cell_angle_beta 94.54
_cell_angle_gamma 90.00
_symmetry_space_group_name_H-M 'P 1 2/m 1'
_symmetry_Int_Tables_number 10
loop_
_symmetry_equiv_pos_as_xyz
'x,y,z'
'-x,-y,-z'
'-x,y,-z'
'x,-y,z'
loop_
_atom_site_label
_atom_site_type_symbol
_atom_site_fract_x
_atom_site_fract_y
_atom_site_fract_z
_atom_site_occupancy
Y1 Y 0.002 0.000 0.247 1
Pa1 Pa 0.500 0.500 0.000 1
Bi1 Bi 0.500 0.500 0.500 1
O1 O 0.237 0.500 0.776 1
O2 O 0.259 0.000 0.520 1
O3 O 0.261 0.000 0.017 1
O4 O 0.279 0.500 0.264 1
# - spin magnetization (μB/f.u.) = 0.00
# - uncorrected energy (eV per atom) = -8.2844
# - formation energy (no corrections) (eV per atom) = -2.787



# 3
# YPaBi2O8, optimized geometry, DFT GGA-PBE
data_YPaBi2O8
_cell_length_a 7.288
_cell_length_b 7.288
_cell_length_c 7.394
_cell_angle_alpha 90.00
_cell_angle_beta 90.00
_cell_angle_gamma 90.00
_symmetry_space_group_name_H-M 'I -4 m 2'
_symmetry_Int_Tables_number 119
_symmetry_space_group_name_Hall 'I -4 -2'
loop_
_atom_site_label
_atom_site_type_symbol
_atom_site_fract_x
_atom_site_fract_y
_atom_site_fract_z
_atom_site_occupancy
Y1 Y 0.000 0.000 0.000 1
Pa1 Pa 0.000 0.500 0.250 1
Bi1 Bi 0.000 0.000 0.500 1
Bi2 Bi 0.000 0.500 0.750 1
O1 O 0.000 0.202 0.277 1
O2 O 0.000 0.314 0.959 1
# - spin magnetization (μB/f.u.) = 0.00
# - uncorrected energy (eV per atom) = -7.4109
# - formation energy (no corrections) (eV per atom) = -2.129



# 4
# YPaBiO6, optimized geometry, DFT GGA-PBE
data_YPaBiO6
_cell_length_a 5.8091
_cell_length_b 5.8091
_cell_length_c 9.6677
_cell_angle_alpha 90.00
_cell_angle_beta 90.00
_cell_angle_gamma 120.00
_symmetry_space_group_name_H-M 'P -3 1 c'
_symmetry_Int_Tables_number 163
_symmetry_space_group_name_Hall '-P 3 2c'
loop_
_atom_site_label
_atom_site_type_symbol
_atom_site_fract_x
_atom_site_fract_y
_atom_site_fract_z
_atom_site_occupancy
Y1 Y 0.0000 0.0000 0.0000 1
Pa1 Pa 0.3333 0.6667 0.2500 1
Bi1 Bi 0.3333 0.6667 0.7500 1
O1 O 0.0107 0.3420 0.1313 1
# - spin magnetization (μB/f.u.) = 0.16
# - uncorrected energy (eV per atom) = -8.1082
# - formation energy (no corrections) (eV per atom) = -2.598



# 5
# Pa2ZnBiO8, optimized geometry, DFT GGA-PBE
data_Pa2ZnBiO8
_cell_length_a 5.369
_cell_length_b 5.369
_cell_length_c 10.933
_cell_angle_alpha 90.00
_cell_angle_beta 90.00
_cell_angle_gamma 90.00
_symmetry_space_group_name_H-M 'I -4'
_symmetry_Int_Tables_number 82
loop_
_symmetry_equiv_pos_as_xyz
'x,y,z'
'y,-x,-z'
'-x,-y,z'
'-y,x,-z'
'x+1/2,y+1/2,z+1/2'
'y+1/2,-x+1/2,-z+1/2'
'-x+1/2,-y+1/2,z+1/2'
'-y+1/2,x+1/2,-z+1/2'
loop_
_atom_site_label
_atom_site_type_symbol
_atom_site_fract_x
_atom_site_fract_y
_atom_site_fract_z
_atom_site_occupancy
Pa1 Pa 0.000 0.000 0.000 1
Pa2 Pa 0.000 0.500 0.250 1
Zn1 Zn 0.000 0.000 0.500 1
Bi1 Bi 0.000 0.500 0.750 1
O1 O 0.212 0.785 0.148 1
O2 O 0.219 0.754 0.398 1
# - spin magnetization (μB/f.u.) = 0.00
# - uncorrected energy (eV per atom) = -7.8346
# - formation energy (no corrections) (eV per atom) = -2.517



# 6
# PaZn2BiO8, optimized geometry, DFT GGA-PBE
data_PaZn2BiO8
_cell_length_a 6.758
_cell_length_b 6.758
_cell_length_c 7.135
_cell_angle_alpha 90.00
_cell_angle_beta 90.00
_cell_angle_gamma 90.00
_symmetry_space_group_name_H-M 'I -4 m 2'
_symmetry_Int_Tables_number 119
_symmetry_space_group_name_Hall 'I -4 -2'
loop_
_atom_site_label
_atom_site_type_symbol
_atom_site_fract_x
_atom_site_fract_y
_atom_site_fract_z
_atom_site_occupancy
Pa1 Pa 0.000 0.000 0.000 1
Zn1 Zn 0.000 0.000 0.500 1
Zn2 Zn 0.000 0.500 0.250 1
Bi1 Bi 0.000 0.500 0.750 1
O1 O 0.000 0.186 0.706 1
O2 O 0.000 0.311 0.046 1
# - spin magnetization (μB/f.u.) = 1.01
# - uncorrected energy (eV per atom) = -6.1314
# - formation energy (no corrections) (eV per atom) = -1.499



# 7
# PaZnBi2O8, optimized geometry, DFT GGA-PBE
data_PaZnBi2O8
_cell_length_a 7.120
_cell_length_b 7.232
_cell_length_c 6.805
_cell_angle_alpha 90.00
_cell_angle_beta 90.00
_cell_angle_gamma 90.00
_symmetry_space_group_name_H-M 'C m m m'
_symmetry_Int_Tables_number 65
_symmetry_space_group_name_Hall '-C 2 2'
loop_
_atom_site_label
_atom_site_type_symbol
_atom_site_fract_x
_atom_site_fract_y
_atom_site_fract_z
_atom_site_occupancy
Pa1 Pa 0.000 0.000 0.000 1
Zn1 Zn 0.000 0.000 0.500 1
Bi1 Bi 0.000 0.500 0.261 1
O1 O 0.000 0.298 0.500 1
O2 O 0.000 0.310 0.000 1
O3 O 0.191 0.000 0.246 1
# - spin magnetization (μB/f.u.) = 0.00
# - uncorrected energy (eV per atom) = -6.5566
# - formation energy (no corrections) (eV per atom) = -1.707



# 8
# PaZnBi2O6, optimized geometry, DFT GGA-PBE
data_PaZnBi2O6
_cell_length_a 5.979
_cell_length_b 5.855
_cell_length_c 10.106
_cell_angle_alpha 90.00
_cell_angle_beta 123.81
_cell_angle_gamma 90.00
_symmetry_space_group_name_H-M 'P 1 21/c 1'
_symmetry_Int_Tables_number 14
loop_
_symmetry_equiv_pos_as_xyz
'x,y,z'
'-x,-y,-z'
'-x,y+1/2,-z+1/2'
'x,-y+1/2,z+1/2'
loop_
_atom_site_label
_atom_site_type_symbol
_atom_site_fract_x
_atom_site_fract_y
_atom_site_fract_z
_atom_site_occupancy
Pa1 Pa 0.000 0.000 0.000 1
Zn1 Zn 0.500 0.000 0.500 1
Bi1 Bi 0.288 0.045 0.761 1
O1 O 0.128 0.050 0.244 1
O2 O 0.319 0.730 0.083 1
O3 O 0.341 0.235 0.068 1
# - spin magnetization (μB/f.u.) = 0.00
# - uncorrected energy (eV per atom) = -6.6896
# - formation energy (no corrections) (eV per atom) = -1.862



# 9
# PaZnBiO6, optimized geometry, DFT GGA-PBE
data_PaZnBiO6
_cell_length_a 5.3766
_cell_length_b 5.3766
_cell_length_c 4.9091
_cell_angle_alpha 90.00
_cell_angle_beta 90.00
_cell_angle_gamma 120.00
_symmetry_space_group_name_H-M 'P 3 1 2'
_symmetry_Int_Tables_number 149
loop_
_symmetry_equiv_pos_as_xyz
'x,y,z'
'-y,x-y,z'
'-x+y,-x,z'
'-y,-x,-z'
'-x+y,y,-z'
'x,x-y,-z'
loop_
_atom_site_label
_atom_site_type_symbol
_atom_site_fract_x
_atom_site_fract_y
_atom_site_fract_z
_atom_site_occupancy
Pa1 Pa 0.0000 0.0000 0.0000 1
Zn1 Zn 0.6667 0.3333 0.5000 1
Bi1 Bi 0.3333 0.6667 0.5000 1
O1 O 0.0001 0.3345 0.7407 1
# - spin magnetization (μB/f.u.) = 0.00
# - uncorrected energy (eV per atom) = -6.9041
# - formation energy (no corrections) (eV per atom) = -1.971



# 10
# ZrPaBi2O8, optimized geometry, DFT GGA-PBE
data_ZrPaBi2O8
_cell_length_a 7.280
_cell_length_b 7.338
_cell_length_c 7.014
_cell_angle_alpha 90.00
_cell_angle_beta 90.00
_cell_angle_gamma 90.00
_symmetry_space_group_name_H-M 'C m m m'
_symmetry_Int_Tables_number 65
_symmetry_space_group_name_Hall '-C 2 2'
loop_
_atom_site_label
_atom_site_type_symbol
_atom_site_fract_x
_atom_site_fract_y
_atom_site_fract_z
_atom_site_occupancy
Zr1 Zr 0.000 0.000 0.000 1
Pa1 Pa 0.000 0.000 0.500 1
Bi1 Bi 0.000 0.500 0.242 1
O1 O 0.000 0.179 0.245 1
O2 O 0.205 0.500 0.500 1
O3 O 0.208 0.500 0.000 1
# - spin magnetization (μB/f.u.) = 0.00
# - uncorrected energy (eV per atom) = -7.8006
# - formation energy (no corrections) (eV per atom) = -2.345



# 11
# Bi2PbO4, optimized geometry, DFT GGA-PBE
data_Bi2PbO4
_cell_length_a 7.224
_cell_length_b 7.224
_cell_length_c 10.202
_cell_angle_alpha 90.00
_cell_angle_beta 90.00
_cell_angle_gamma 90.00
_symmetry_space_group_name_H-M 'I 41/a m d'
_symmetry_Int_Tables_number 141
loop_
_symmetry_equiv_pos_as_xyz
'x,y,z'
'-x,-y,-z'
'-y+1/4,x+3/4,z+1/4'
'y+1/4,-x+3/4,-z+1/4'
'-x+1/2,-y,z+1/2'
'x+1/2,y,-z+1/2'
'y+1/4,-x+1/4,z+3/4'
'-y+1/4,x+1/4,-z+3/4'
'x,-y,-z'
'-x,y,z'
'-y+1/4,-x+1/4,-z+3/4'
'y+1/4,x+1/4,z+3/4'
'-x+1/2,y,-z+1/2'
'x+1/2,-y,z+1/2'
'y+1/4,x+3/4,-z+1/4'
'-y+1/4,-x+3/4,z+1/4'
'x+1/2,y+1/2,z+1/2'
'-x+1/2,-y+1/2,-z+1/2'
'-y+3/4,x+1/4,z+3/4'
'y+3/4,-x+1/4,-z+3/4'
'-x,-y+1/2,z'
'x,y+1/2,-z'
'y+3/4,-x+3/4,z+1/4'
'-y+3/4,x+3/4,-z+1/4'
'x+1/2,-y+1/2,-z+1/2'
'-x+1/2,y+1/2,z+1/2'
'-y+3/4,-x+3/4,-z+1/4'
'y+3/4,x+3/4,z+1/4'
'-x,y+1/2,-z'
'x,-y+1/2,z'
'y+3/4,x+1/4,-z+3/4'
'-y+3/4,-x+1/4,z+3/4'
loop_
_atom_site_label
_atom_site_type_symbol
_atom_site_fract_x
_atom_site_fract_y
_atom_site_fract_z
_atom_site_occupancy
Bi1 Bi 0.000 0.000 0.000 1
Pb1 Pb 0.000 0.250 0.375 1
O1 O 0.000 0.026 0.763 1
# - spin magnetization (μB/f.u.) = 0.00
# - uncorrected energy (eV per atom) = -5.5790
# - formation energy (no corrections) (eV per atom) = -1.107
# - excess energy over the best structure of this formula in the dataset (meV per atom) = 0



# 12
# BiPb2O6, optimized geometry, DFT GGA-PBE
data_BiPb2O6
_cell_length_a 3.851
_cell_length_b 5.438
_cell_length_c 11.536
_cell_angle_alpha 90.00
_cell_angle_beta 90.00
_cell_angle_gamma 90.00
_symmetry_space_group_name_H-M 'I m m m'
_symmetry_Int_Tables_number 71
_symmetry_space_group_name_Hall '-I 2 2'
loop_
_atom_site_label
_atom_site_type_symbol
_atom_site_fract_x
_atom_site_fract_y
_atom_site_fract_z
_atom_site_occupancy
Bi1 Bi 0.000 0.000 0.000 1
Pb1 Pb 0.000 0.000 0.332 1
O1 O 0.000 0.248 0.500 1
O2 O 0.000 0.251 0.167 1
# - spin magnetization (μB/f.u.) = 0.00
# - uncorrected energy (eV per atom) = -5.3510
# - formation energy (no corrections) (eV per atom) = -0.790
# - excess energy over the best structure of this formula in the dataset (meV per atom) = 47



# 13
# BiPb2O4, optimized geometry, DFT GGA-PBE
data_BiPb2O4
_cell_length_a 7.202
_cell_length_b 7.248
_cell_length_c 10.146
_cell_angle_alpha 90.00
_cell_angle_beta 90.00
_cell_angle_gamma 90.00
_symmetry_space_group_name_H-M 'I m m a'
_symmetry_Int_Tables_number 74
_symmetry_space_group_name_Hall '-I 2b 2'
loop_
_atom_site_label
_atom_site_type_symbol
_atom_site_fract_x
_atom_site_fract_y
_atom_site_fract_z
_atom_site_occupancy
Bi1 Bi 0.250 0.250 0.250 1
Pb1 Pb 0.000 0.000 0.000 1
Pb2 Pb 0.000 0.250 0.625 1
O1 O 0.000 0.027 0.240 1
O2 O 0.220 0.250 0.011 1
# - spin magnetization (μB/f.u.) = 0.00
# - uncorrected energy (eV per atom) = -5.4392
# - formation energy (no corrections) (eV per atom) = -0.992
# - excess energy over the best structure of this formula in the dataset (meV per atom) = 10



# 14
# Bi3Pb5O12, optimized geometry, DFT GGA-PBE
data_Bi3Pb5O12
_cell_length_a 13.918
_cell_length_b 13.918
_cell_length_c 13.918
_cell_angle_alpha 90.00
_cell_angle_beta 90.00
_cell_angle_gamma 90.00
_symmetry_space_group_name_H-M 'I a -3 d'
_symmetry_Int_Tables_number 230
_symmetry_space_group_name_Hall '-I 4bd 2c 3'
loop_
_atom_site_label
_atom_site_type_symbol
_atom_site_fract_x
_atom_site_fract_y
_atom_site_fract_z
_atom_site_occupancy
Bi1 Bi 0.000 0.250 0.125 1
Pb1 Pb 0.000 0.000 0.000 1
Pb2 Pb 0.000 0.250 0.375 1
O1 O 0.019 0.067 0.647 1
# - spin magnetization (μB/f.u.) = 0.00
# - uncorrected energy (eV per atom) = -5.3653
# - formation energy (no corrections) (eV per atom) = -0.881



# 15
# Bi2Pb2O7, optimized geometry, DFT GGA-PBE
data_Bi2Pb2O7
_cell_length_a 8.326
_cell_length_b 7.174
_cell_length_c 5.629
_cell_angle_alpha 90.00
_cell_angle_beta 93.19
_cell_angle_gamma 90.00
_symmetry_space_group_name_H-M 'C 1 m 1'
_symmetry_Int_Tables_number 8
loop_
_symmetry_equiv_pos_as_xyz
'x,y,z'
'x,-y,z'
'x+1/2,y+1/2,z'
'x+1/2,-y+1/2,z'
loop_
_atom_site_label
_atom_site_type_symbol
_atom_site_fract_x
_atom_site_fract_y
_atom_site_fract_z
_atom_site_occupancy
Bi1 Bi 0.000 0.249 0.000 1
Pb1 Pb 0.267 0.000 0.457 1
Pb2 Pb 0.280 0.500 0.481 1
O1 O 0.020 0.500 0.365 1
O2 O 0.029 0.000 0.258 1
O3 O 0.261 0.232 0.700 1
O4 O 0.272 0.264 0.204 1
O5 O 0.479 0.500 0.774 1
# - spin magnetization (μB/f.u.) = 0.00
# - uncorrected energy (eV per atom) = -5.5066
# - formation energy (no corrections) (eV per atom) = -0.972
# - excess energy over the best structure of this formula in the dataset (meV per atom) = 0



# 16
# Bi2Pb2O, optimized geometry, DFT GGA-PBE
data_Bi2Pb2O
_cell_length_a 6.671
_cell_length_b 6.671
_cell_length_c 6.166
_cell_angle_alpha 90.00
_cell_angle_beta 90.00
_cell_angle_gamma 90.00
_symmetry_space_group_name_H-M 'P 4/m b m'
_symmetry_Int_Tables_number 127
_symmetry_space_group_name_Hall '-P 4 2ab'
loop_
_atom_site_label
_atom_site_type_symbol
_atom_site_fract_x
_atom_site_fract_y
_atom_site_fract_z
_atom_site_occupancy
Bi1 Bi 0.189 0.311 0.000 1
Pb1 Pb 0.190 0.690 0.500 1
O1 O 0.000 0.000 0.000 1
# - spin magnetization (μB/f.u.) = 0.00
# - uncorrected energy (eV per atom) = -4.1855
# - formation energy (no corrections) (eV per atom) = -0.158
# - excess energy over the best structure of this formula in the dataset (meV per atom) = 51



# 17
# BiPb2O4, optimized geometry, DFT GGA-PBE
data_BiPb2O4
_cell_length_a 14.686
_cell_length_b 3.558
_cell_length_c 5.537
_cell_angle_alpha 90.00
_cell_angle_beta 109.53
_cell_angle_gamma 90.00
_symmetry_space_group_name_H-M 'C 1 2/m 1'
_symmetry_Int_Tables_number 12
loop_
_symmetry_equiv_pos_as_xyz
'x,y,z'
'-x,-y,-z'
'-x,y,-z'
'x,-y,z'
'x+1/2,y+1/2,z'
'-x+1/2,-y+1/2,-z'
'-x+1/2,y+1/2,-z'
'x+1/2,-y+1/2,z'
loop_
_atom_site_label
_atom_site_type_symbol
_atom_site_fract_x
_atom_site_fract_y
_atom_site_fract_z
_atom_site_occupancy
Bi1 Bi 0.000 0.000 0.000 1
Pb1 Pb 0.175 0.500 0.664 1
O1 O 0.071 0.500 0.258 1
O2 O 0.121 0.000 0.831 1
# - spin magnetization (μB/f.u.) = 0.00
# - uncorrected energy (eV per atom) = -5.4492
# - formation energy (no corrections) (eV per atom) = -1.002
# - excess energy over the best structure of this formula in the dataset (meV per atom) = 0



# 18
# Bi2Pb2O, optimized geometry, DFT GGA-PBE
data_Bi2Pb2O
_cell_length_a 4.311
_cell_length_b 4.311
_cell_length_c 16.828
_cell_angle_alpha 90.00
_cell_angle_beta 90.00
_cell_angle_gamma 90.00
_symmetry_space_group_name_H-M 'I 4/m m m'
_symmetry_Int_Tables_number 139
_symmetry_space_group_name_Hall '-I 4 2'
loop_
_atom_site_label
_atom_site_type_symbol
_atom_site_fract_x
_atom_site_fract_y
_atom_site_fract_z
_atom_site_occupancy
Bi1 Bi 0.000 0.500 0.250 1
Pb1 Pb 0.000 0.000 0.090 1
O1 O 0.000 0.000 0.500 1
# - spin magnetization (μB/f.u.) = 0.00
# - uncorrected energy (eV per atom) = -3.7067
# - formation energy (no corrections) (eV per atom) = 0.321
# - excess energy over the best structure of this formula in the dataset (meV per atom) = 530